No. 1
DFT (PBE-GGA) results for a relaxed Cu8GeAu4 crystal.

## Properties
Density of states at the Fermi level, states/eV/f.u.: 4.5
Formation energy, eV per formula unit: 0.5
Total DFT energy (no corrections), eV per atom: -3.846
M_tot, μB/cell: 0.000

```
Cu8GeAu4
1.0
-1.281 3.204 1.484
-2.065 0.602 -3.084
-10.462 -6.811 5.675
Cu Ge Au
8 1 4
Cartesian
-5.093 -3.316 2.762
-10.438 -5.822 3.560
-2.223 1.545 -0.502
-7.137 -2.627 4.266
-3.066 -1.023 -0.439
-7.952 -5.177 4.313
-2.675 0.278 1.845
-9.616 -3.268 3.508
-3.302 -2.150 1.791
-0.563 -0.366 0.305
-7.528 -3.928 1.981
-6.356 -1.145 1.740
-10.034 -4.514 5.837
```

No. 2
DFT (PBE-GGA) results for a relaxed KZrSb2 crystal.

## Properties
Density of states at the Fermi level, states/eV/f.u.: 1.3
Energy above the lowest structure with this stoichiometry, meV/atom: 39.0
Uncorrected formation energy, meV per atom: -457.7
Total DFT energy (no corrections), eV per atom: -4.930
M_tot, μB/cell: 0.000

```
KZrSb2
1.0
9.341 -0.014 -0.008
8.494 3.885 -0.008
8.494 1.844 3.420
K Sb Zr
1 2 1
Cartesian
19.747 4.286 2.552
25.935 5.629 3.352
13.559 2.943 1.753
6.582 1.429 0.851
```

No. 3
DFT (PBE-GGA) results for a relaxed CaPBr2 crystal.

## Properties
Energy above the lowest structure with this stoichiometry, meV/atom: 208.0
Uncorrected formation energy, meV per atom: -646.3
Total DFT energy (no corrections), eV per atom: -3.336
M_tot, μB/cell: 3.000

```
CaPBr2
1.0
-9.565 -3.103 -0.389
-8.249 -3.599 -4.504
-7.371 -6.672 -1.555
Br Ca P
2 1 1
Cartesian
-24.405 -12.960 -6.248
-13.372 -7.101 -3.423
-6.296 -3.344 -1.612
-18.889 -10.031 -4.835
```

No. 4
DFT (PBE-GGA) results for a relaxed UPdPbAu crystal.

## Properties
Density of states at the Fermi level, states/eV/f.u.: 8.3
Formation energy, eV per formula unit: -0.6
Total DFT energy (no corrections), eV per atom: -6.019
M_tot, μB/cell: 2.509

```
UPdPbAu
1.0
-0.811 2.394 4.302
-4.660 1.094 1.406
-2.076 -2.410 3.843
Pb Au U Pd
1 1 1 1
Cartesian
0.000 0.000 0.000
-1.887 0.269 2.388
-3.774 0.538 4.776
-5.660 0.808 7.163
```

No. 5
DFT (PBE-GGA) results for a relaxed LiTm3Rh8 crystal.

## Properties
Density of states at the Fermi level, states/eV/f.u.: 6.3
Formation energy, eV per formula unit: -7.5
Total DFT energy (no corrections), eV per atom: -6.807
M_tot, μB/cell: 0.000

```
LiTm3Rh8
1.0
-2.244 4.422 -1.732
-3.207 2.724 3.144
4.903 6.933 3.383
Li Tm Rh
1 3 8
Cartesian
-2.871 8.893 2.529
2.221 8.729 3.479
-5.314 7.238 1.470
-0.388 6.962 2.348
-2.596 6.637 0.377
-0.625 9.249 4.512
-1.468 4.415 1.247
-1.747 11.461 3.646
1.114 4.367 1.741
0.843 11.408 4.139
-3.080 5.784 2.827
-0.143 10.098 2.074
```

No. 6
DFT (PBE-GGA) results for a relaxed Rb2Cd2S3 crystal.

## Properties
Density of states at the Fermi level, states/eV/f.u.: 0.0
Energy above the lowest structure with this stoichiometry, meV/atom: 0.0
Uncorrected formation energy, meV per atom: -885.2
Total DFT energy (no corrections), eV per atom: -3.192
M_tot, μB/cell: 0.000

```
Rb2Cd2S3
1.0
-3.561 -1.593 -6.119
6.515 -6.666 -6.495
-5.930 -9.573 1.503
Rb Cd S
8 8 12
Cartesian
-4.157 -3.284 -5.089
-0.123 -1.962 -3.478
-5.044 -9.937 -5.371
-1.527 -9.115 -7.632
-1.449 -8.717 -3.478
2.069 -7.895 -5.739
-2.853 -15.871 -7.633
1.181 -14.548 -6.022
-1.206 -5.318 -5.914
-4.897 -6.700 -3.535
-1.269 -4.952 -1.670
2.593 -4.570 -4.145
-5.568 -13.262 -6.965
-1.707 -12.880 -9.441
1.921 -11.132 -7.575
-1.770 -12.514 -5.197
-3.368 -6.839 -5.646
0.150 -6.277 -7.902
0.234 -5.617 -3.757
-3.197 -6.678 -1.547
-7.277 -12.453 -5.226
4.301 -5.379 -5.884
0.221 -11.154 -9.564
-3.210 -12.215 -7.353
3.806 -9.484 -8.146
-3.126 -11.556 -3.209
0.393 -10.993 -5.465
-6.782 -8.349 -2.964
```

No. 7
DFT (PBE-GGA) results for a relaxed GePt2O6 crystal.

## Properties
Density of states at the Fermi level, states/eV/f.u.: 0.0
Uncorrected formation energy, meV per atom: -818.9
Total DFT energy (no corrections), eV per atom: -5.980
M_tot, μB/cell: 0.000

```
GePt2O6
1.0
-1.749 -2.515 -0.280
4.921 -3.536 1.014
-1.498 2.227 6.262
Ge Pt O
1 2 6
Cartesian
-0.875 -1.257 -0.140
0.830 -2.978 4.664
0.843 -0.846 2.332
2.735 -2.483 5.210
1.004 -0.732 0.305
0.997 -2.866 2.610
0.669 -3.092 6.691
-1.062 -1.342 1.786
0.676 -0.959 4.387
```

No. 8
DFT (PBE-GGA) results for a relaxed InGaCuRh crystal.

## Properties
Density of states at the Fermi level, states/eV/f.u.: 3.0
Formation energy, eV per formula unit: -0.7
Total DFT energy (no corrections), eV per atom: -4.482
M_tot, μB/cell: 0.000

```
InGaCuRh
1.0
-2.330 2.563 -2.805
-4.104 -1.215 -1.242
-3.539 2.273 1.475
Rh Cu Ga In
1 1 1 1
Cartesian
-4.987 1.810 -1.286
0.000 0.000 0.000
-7.480 2.715 -1.930
-2.493 0.905 -0.643
```

No. 9
DFT (PBE-GGA) results for a relaxed Sr2In9Ir3 crystal.

## Properties
Density of states at the Fermi level, states/eV/f.u.: 5.6
Formation energy, eV per formula unit: -4.4
Total DFT energy (no corrections), eV per atom: -4.212
M_tot, μB/cell: 0.000

```
Sr2In9Ir3
1.0
2.688 6.628 -4.193
1.807 -7.641 -2.663
-11.315 -1.939 -2.156
Sr In Ir
4 18 6
Cartesian
-7.138 -1.125 -3.692
0.318 -1.827 -5.320
-4.738 0.684 -7.362
-2.082 -3.636 -1.650
-5.604 -5.491 -5.944
-1.216 2.539 -3.068
-5.434 -2.371 -6.294
-1.385 -0.581 -2.718
-8.128 -3.715 -5.575
1.308 0.763 -3.437
-4.976 -3.682 -3.513
-1.844 0.730 -5.499
-5.843 3.375 -5.719
-0.977 -6.327 -3.292
-8.532 -8.467 -5.200
1.712 5.515 -3.812
-4.516 1.057 -3.974
-2.304 -4.009 -5.038
-2.534 -1.814 -7.212
-4.286 -1.138 -1.800
-7.839 1.035 -6.135
1.019 -3.987 -2.877
1.344 3.314 -2.096
-3.410 -1.476 -4.506
-3.080 3.302 -5.047
-3.740 -6.254 -3.965
1.061 -1.474 -1.626
-7.881 -1.478 -7.385
```

What is the M_tot in the fifth record? 0.000 μB/cell

What is the M_tot in the fifth record? 0.000 μB/cell